# 1
This record from the Alexandria database describes a relaxed structure of PuUPa. The functional is PBE.

Cell and atoms, written as POSCAR:
```
PuUPa
1.0
3.8489 0.0000 0.0000
1.9244 3.3332 0.0000
1.9244 1.1111 5.2074
Pa U Pu
1 1 1
Cartesian
1.9244 1.1111 3.6082
1.9244 1.1111 0.3449
3.8489 2.2222 1.4828
```

Size of the total moment in μB per cell: 3.3
Theoretical density in g/cm³: 17.72


# 2
This record from the Alexandria database describes a relaxed structure of Pr3Nd4In2. The functional is PBE.

Cell and atoms, written as POSCAR:
```
Pr3Nd4In2
1.0
5.4980 0.0003 -0.0013
2.7486 6.4246 0.5203
2.7459 3.5071 8.7688
Nd Pr In
4 3 2
Cartesian
5.4942 5.7982 8.6340
2.7487 3.8435 3.2342
8.2438 6.0885 6.0535
5.4983 4.1338 0.6537
0.0000 0.0000 0.0000
5.4968 6.3885 3.4782
5.4958 3.5435 5.8096
5.4966 1.7864 2.8485
5.4959 8.1455 6.4393
```

Size of the total moment in μB per cell: 0.0
Theoretical density in g/cm³: 6.81


Listing E_form for the structures above in their given order: 0.98 -1.68 eV per formula unit.
Listing E above lowest polymorph for the structures above in their given order: 24.1 3.0 kJ/mol of atoms.